{"formula": "DyTl2InCl6", "functional": "PBE-GGA", "state": "relaxed", "cell": [[3.914, 2.260, 6.615], [-3.914, 2.260, 6.615], [0.000, -4.519, 6.615]], "species": ["Dy", "Tl", "Tl", "In", "Cl", "Cl", "Cl", "Cl", "Cl", "Cl"], "frac_coords": [[0.000, 0.000, 0.000], [0.298, 0.298, 0.298], [0.789, 0.789, 0.789], [0.510, 0.510, 0.510], [0.124, 0.326, 0.762], [0.197, 0.885, 0.664], [0.326, 0.762, 0.124], [0.664, 0.197, 0.885], [0.762, 0.124, 0.326], [0.885, 0.664, 0.197]], "raw_formation_energy_ev_per_atom": -1.508}


{"formula": "BeNi4B", "functional": "PBE-GGA", "state": "relaxed", "cell": [[5.083, 0.000, 0.000], [0.000, 5.083, 0.000], [0.000, 0.000, 4.267]], "species": ["Be", "Be", "Ni", "Ni", "Ni", "Ni", "Ni", "Ni", "Ni", "Ni", "B", "B"], "frac_coords": [[0.000, 0.000, 0.250], [0.000, 0.000, 0.750], [0.174, 0.348, 0.000], [0.174, 0.652, 0.500], [0.348, 0.174, 0.500], [0.348, 0.826, 0.000], [0.652, 0.174, 0.000], [0.652, 0.826, 0.500], [0.826, 0.348, 0.500], [0.826, 0.652, 0.000], [0.500, 0.500, 0.250], [0.500, 0.500, 0.750]], "de_polymorph_ev_per_fu": 0.000, "ef_mev_per_atom": -288}


no.,energy (eV per atom),V (Å³/cell)
1,-3.823,351.1
2,-5.876,110.2